# GGA-PBE Cs2AuCCl6, relaxed
# total DFT energy (no corrections): -2.9797 eV/atom
# formation energy (no corrections): -451 meV per atom
# total moment: 0.0 Bohr magnetons per cell
data_Cs2AuCCl6
_chemical_formula_sum 'Cs4 Au2 C2 Cl12'
_space_group_name_H-M_alt 'I 4/m m m'
_space_group_IT_number 139
_space_group_name_Hall '-I 4 2'
_cell_length_a 6.971
_cell_length_b 6.971
_cell_length_c 11.096
_cell_angle_alpha 90.00
_cell_angle_beta 90.00
_cell_angle_gamma 90.00
loop_
_atom_site_label
_atom_site_fract_x
_atom_site_fract_y
_atom_site_fract_z
Cs1 0.000 0.500 0.250
Au1 0.000 0.000 0.000
C1 0.000 0.000 0.500
Cl1 0.000 0.000 0.297
Cl2 0.249 0.249 0.000